Entry 1:
# PBE CrPbAu2, optimized geometry
# **DOS(E_F)**: 0.696 states/eV/atom
# **Calculated total energy**: -4.76 eV per atom
# **Crystal system**: tetragonal
# **E_form**: 210 meV/atom
data_CrPbAu2
_space_group_name_H-M_alt 'P 4/m m m'
_space_group_IT_number 123
_space_group_name_Hall '-P 4 2'
_cell_length_a 4.4916
_cell_length_b 4.4916
_cell_length_c 4.0154
_cell_angle_alpha 90.00
_cell_angle_beta 90.00
_cell_angle_gamma 90.00
loop_
_atom_site_label
_atom_site_fract_x
_atom_site_fract_y
_atom_site_fract_z
_atom_site_occupancy
Cr1 0.0000 0.0000 0.0000 1
Pb1 0.5000 0.5000 0.0000 1
Au1 0.0000 0.5000 0.5000 1

=====

Entry 2:
# PBE Tb2YHo3As6, optimized geometry
# **DOS(E_F)**: 0.153 states/eV/atom
# **Calculated total energy**: -6.32 eV per atom
# **Crystal system**: monoclinic
# **E_form**: -1538 meV/atom
data_Tb2YHo3As6
_space_group_name_H-M_alt 'C 1 2/m 1'
_space_group_IT_number 12
_cell_length_a 17.9417
_cell_length_b 4.1175
_cell_length_c 8.2311
_cell_angle_alpha 90.00
_cell_angle_beta 103.24
_cell_angle_gamma 90.00
loop_
_space_group_symop_operation_xyz
'x,y,z'
'-x,-y,-z'
'-x,y,-z'
'x,-y,z'
'x+1/2,y+1/2,z'
'-x+1/2,-y+1/2,-z'
'-x+1/2,y+1/2,-z'
'x+1/2,-y+1/2,z'
loop_
_atom_site_label
_atom_site_fract_x
_atom_site_fract_y
_atom_site_fract_z
_atom_site_occupancy
Tb1 0.1666 0.0000 0.3330 1
Y1 0.0000 0.5000 0.0000 1
Ho1 0.0000 0.5000 0.5000 1
Ho2 0.1667 0.0000 0.8332 1
As1 0.0006 0.0000 0.7491 1
As2 0.1661 0.5000 0.5845 1
As3 0.1670 0.5000 0.0817 1

=====

> Which of these has the lowest DOS(E_F)?

Tb2YHo3As6

=====

> Which formula does entry 1 have?

CrPbAu2

=====

Please write out number 1 again, unchanged.
# PBE CrPbAu2, optimized geometry
# **DOS(E_F)**: 0.696 states/eV/atom
# **Calculated total energy**: -4.76 eV per atom
# **Crystal system**: tetragonal
# **E_form**: 210 meV/atom
data_CrPbAu2
_space_group_name_H-M_alt 'P 4/m m m'
_space_group_IT_number 123
_space_group_name_Hall '-P 4 2'
_cell_length_a 4.4916
_cell_length_b 4.4916
_cell_length_c 4.0154
_cell_angle_alpha 90.00
_cell_angle_beta 90.00
_cell_angle_gamma 90.00
loop_
_atom_site_label
_atom_site_fract_x
_atom_site_fract_y
_atom_site_fract_z
_atom_site_occupancy
Cr1 0.0000 0.0000 0.0000 1
Pb1 0.5000 0.5000 0.0000 1
Au1 0.0000 0.5000 0.5000 1